SrSnBi4, relaxed, DFT PBE-GGA; energy relative to the elements = -9.7 kJ/mol of atoms; V = 206.0 Å³/f.u.; distance to the lowest polymorph of the same formula = 112 meV per atom
1.0
-5.1500 2.5314 3.3190
-6.1818 -1.7381 -1.6462
-3.5495 -3.8593 4.0562
Sr Bi Sn
1 4 1
Cartesian
-3.7204 -0.7665 1.4322
-7.5267 0.0239 1.5435
-6.2015 -1.0439 4.4142
-9.3136 -1.9189 3.5855
-6.7210 -3.1932 1.9147
0.0000 0.0000 0.0000